No. 1
The following is a PBE calculation of an optimized crystal structure of Ti2AlPt, from the Alexandria database.

Cell and atoms, written as CIF:
```
data_Ti2AlPt
_cell_length_a 3.8663
_cell_length_b 3.8663
_cell_length_c 4.1768
_cell_angle_alpha 90.00
_cell_angle_beta 90.00
_cell_angle_gamma 90.00
_symmetry_space_group_name_H-M 'P 1'
_symmetry_Int_Tables_number 1
loop_
_symmetry_equiv_pos_as_xyz
'x,y,z'
loop_
_atom_site_label
_atom_site_type_symbol
_atom_site_fract_x
_atom_site_fract_y
_atom_site_fract_z
Ti1 Ti 0.0000 0.5000 0.0000
Ti2 Ti 0.5000 0.0000 0.0000
Al1 Al 0.0000 0.0000 0.5000
Pt1 Pt 0.5000 0.5000 0.5000
```

Energy of formation, kcal/mol of atoms: -16.7


No. 2
The following is a PBE calculation of an optimized crystal structure of CePa2Co9, from the Alexandria database.

Cell and atoms, written as CIF:
```
data_CePa2Co9
_cell_length_a 8.6245
_cell_length_b 8.6245
_cell_length_c 8.6245
_cell_angle_alpha 32.77
_cell_angle_beta 32.77
_cell_angle_gamma 32.77
_symmetry_space_group_name_H-M 'P 1'
_symmetry_Int_Tables_number 1
loop_
_symmetry_equiv_pos_as_xyz
'x,y,z'
loop_
_atom_site_label
_atom_site_type_symbol
_atom_site_fract_x
_atom_site_fract_y
_atom_site_fract_z
Ce1 Ce 0.0000 0.0000 0.0000
Pa1 Pa 0.1367 0.1367 0.1367
Pa2 Pa 0.8633 0.8633 0.8633
Co1 Co 0.0821 0.5835 0.5835
Co2 Co 0.3332 0.3332 0.3332
Co3 Co 0.4165 0.4165 0.9179
Co4 Co 0.4165 0.9179 0.4165
Co5 Co 0.5000 0.5000 0.5000
Co6 Co 0.5835 0.0821 0.5835
Co7 Co 0.5835 0.5835 0.0821
Co8 Co 0.6668 0.6668 0.6668
Co9 Co 0.9179 0.4165 0.4165
```

Energy of formation, kcal/mol of atoms: -5.8


No. 3
The following is a PBE calculation of an optimized crystal structure of Hf2FeAgOs, from the Alexandria database.

Cell and atoms, written as CIF:
```
data_Hf2FeAgOs
_cell_length_a 4.9542
_cell_length_b 4.9542
_cell_length_c 4.8065
_cell_angle_alpha 90.00
_cell_angle_beta 90.00
_cell_angle_gamma 90.00
_symmetry_space_group_name_H-M 'P 1'
_symmetry_Int_Tables_number 1
loop_
_symmetry_equiv_pos_as_xyz
'x,y,z'
loop_
_atom_site_label
_atom_site_type_symbol
_atom_site_fract_x
_atom_site_fract_y
_atom_site_fract_z
Hf1 Hf 0.0000 0.5000 0.0000
Hf2 Hf 0.5000 0.0000 0.0000
Fe1 Fe 0.0000 0.0000 0.5000
Ag1 Ag 0.5000 0.5000 0.0000
Os1 Os 0.5000 0.5000 0.5000
```

Energy of formation, kcal/mol of atoms: 42.5


No. 4
The following is a PBE calculation of an optimized crystal structure of TbEuPtAu, from the Alexandria database.

Cell and atoms, written as CIF:
```
data_TbEuPtAu
_cell_length_a 7.2026
_cell_length_b 7.2026
_cell_length_c 7.2026
_cell_angle_alpha 90.00
_cell_angle_beta 90.00
_cell_angle_gamma 90.00
_symmetry_space_group_name_H-M 'P 1'
_symmetry_Int_Tables_number 1
loop_
_symmetry_equiv_pos_as_xyz
'x,y,z'
loop_
_atom_site_label
_atom_site_type_symbol
_atom_site_fract_x
_atom_site_fract_y
_atom_site_fract_z
Tb1 Tb 0.0000 0.0000 0.0000
Tb2 Tb 0.0000 0.5000 0.5000
Tb3 Tb 0.5000 0.0000 0.5000
Tb4 Tb 0.5000 0.5000 0.0000
Eu1 Eu 0.0000 0.0000 0.5000
Eu2 Eu 0.0000 0.5000 0.0000
Eu3 Eu 0.5000 0.0000 0.0000
Eu4 Eu 0.5000 0.5000 0.5000
Pt1 Pt 0.2500 0.2500 0.7500
Pt2 Pt 0.2500 0.7500 0.2500
Pt3 Pt 0.7500 0.2500 0.2500
Pt4 Pt 0.7500 0.7500 0.7500
Au1 Au 0.2500 0.2500 0.2500
Au2 Au 0.2500 0.7500 0.7500
Au3 Au 0.7500 0.2500 0.7500
Au4 Au 0.7500 0.7500 0.2500
```

Energy of formation, kcal/mol of atoms: -20.8


no.,total energy (eV/cell)
1,-28.47
2,-91.88
3,-33.24
4,-111.30